NbPbS | PBE | relaxed

Density of states at the Fermi level: 0.67 states/eV per atom
Crystal system: orthorhombic
Uncorrected formation energy: -0.21 eV per atom
Total magnetization: 0.0 Bohr magnetons per cell

a b c (Å): 9.925 5.958 6.880
angles (deg): 90.00 90.00 90.00
Space group Pmn2_1 (No. 31)
Symmetry-distinct sites (fractional):
Nb 0.000 0.196 0.000 x2
Nb 0.153 0.812 0.323 x4
Pb 0.000 0.061 0.595 x2
Pb 0.167 0.554 0.712 x4
S 0.000 0.512 0.231 x2
S 0.183 0.922 0.983 x4


Tb3Tl2BRu3 | PBE | relaxed

Density of states at the Fermi level: 0.57 states/eV per atom
Crystal system: hexagonal
Total magnetization: 0.0 Bohr magnetons per cell
VASP energy: -55.4 eV for the cell shown

a b c (Å): 7.7068 7.7068 3.4985
angles (deg): 90.00 90.00 120.00
Space group P-62m (No. 189)
Symmetry-distinct sites (fractional):
Tb 0.0000 0.6607 0.0000 x3
Tl 0.3333 0.6667 0.5000 x2
B 0.0000 0.0000 0.0000 x1
Ru 0.0000 0.2106 0.5000 x3


Cs2KN | PBE | relaxed

Density of states at the Fermi level: 0.71 states/eV per atom
Crystal system: tetragonal
Uncorrected formation energy: 0.62 eV per atom
Total magnetization: 6.2 Bohr magnetons per cell

a b c (Å): 9.351 9.351 13.158
angles (deg): 90.00 90.00 90.00
Space group I-42d (No. 122)
Symmetry-distinct sites (fractional):
Cs 0.014 0.250 0.125 x8
K 0.000 0.000 0.500 x4
N 0.000 0.000 0.000 x4


AgBi2Se3Cl | PBE | relaxed

Crystal system: monoclinic
Uncorrected formation energy: -0.43 eV per atom
Total magnetization: 0.0 Bohr magnetons per cell

a b c (Å): 8.221 4.161 11.214
angles (deg): 90.00 103.92 90.00
Space group P2_1/m (No. 11)
Symmetry-distinct sites (fractional):
Ag 0.052 0.250 0.412 x2
Bi 0.193 0.250 0.937 x2
Bi 0.460 0.750 0.655 x2
Se 0.039 0.250 0.150 x2
Se 0.201 0.250 0.664 x2
Se 0.313 0.750 0.408 x2
Cl 0.402 0.750 0.097 x2


Dy7Er12Tl | PBE | relaxed

Density of states at the Fermi level: 1.54 states/eV per atom
Crystal system: trigonal
Total magnetization: 0.0 Bohr magnetons per cell
VASP energy: -257.1 eV for the cell shown

a b c (Å): 11.8213 11.8213 15.6287
angles (deg): 90.00 90.00 120.00
Space group R-3 (No. 148, hexagonal axes)
Symmetry-distinct sites (fractional):
Dy 0.0000 0.0000 0.0000 x3
Dy 0.0579 0.1886 0.2944 x18
Er 0.0354 0.4578 0.2156 x18
Er 0.0546 0.5841 0.5850 x18
Tl 0.0000 0.0000 0.5000 x3


Np2SbS5 | PBE | relaxed

Density of states at the Fermi level: 2.25 states/eV per atom
Crystal system: orthorhombic
Uncorrected formation energy: -0.94 eV per atom
Total magnetization: 28.0 Bohr magnetons per cell

a b c (Å): 5.358 12.962 13.238
angles (deg): 90.00 90.00 90.00
Space group Cmcm (No. 63)
Symmetry-distinct sites (fractional):
Np 0.000 0.149 0.061 x8
Sb 0.000 0.192 0.750 x4
S 0.000 0.050 0.616 x8
S 0.000 0.248 0.250 x4
S 0.000 0.318 0.561 x8


CdOs2Ru | PBE | relaxed

Density of states at the Fermi level: 1.04 states/eV per atom
Crystal system: orthorhombic
Total magnetization: 0.0 Bohr magnetons per cell
VASP energy: -60.3 eV for the cell shown

a b c (Å): 2.784 4.667 9.951
angles (deg): 90.00 90.00 90.00
Space group Imm2 (No. 44)
Symmetry-distinct sites (fractional):
Cd 0.000 0.000 0.000 x2
Os 0.000 0.000 0.487 x2
Os 0.000 0.500 0.772 x2
Ru 0.000 0.500 0.214 x2


CeHPt2 | PBE | relaxed

Density of states at the Fermi level: 0.94 states/eV per atom
Crystal system: trigonal
Total magnetization: 0.0 Bohr magnetons per cell
VASP energy: -63.2 eV for the cell shown

a b c (Å): 2.9768 2.9768 23.7157
angles (deg): 90.00 90.00 120.00
Space group R-3m (No. 166, hexagonal axes)
Symmetry-distinct sites (fractional):
Ce 0.0000 0.0000 0.0000 x3
H 0.0000 0.0000 0.5000 x3
Pt 0.0000 0.0000 0.1122 x6


TiTl2PbF8 | PBE | relaxed

Density of states at the Fermi level: 0.00 states/eV per atom
Crystal system: monoclinic
Uncorrected formation energy: -2.62 eV per atom
Total magnetization: 0.0 Bohr magnetons per cell

a b c (Å): 5.152 7.383 6.429
angles (deg): 90.00 91.80 90.00
Space group P2/m (No. 10)
Symmetry-distinct sites (fractional):
Ti 0.000 0.000 0.000 x1
Tl 0.500 0.237 0.500 x2
Pb 0.000 0.500 0.000 x1
F 0.139 0.192 0.834 x4
F 0.295 0.000 0.173 x2
F 0.333 0.500 0.263 x2


K2Na5Au5 | PBE | relaxed

Density of states at the Fermi level: 0.26 states/eV per atom
Crystal system: orthorhombic
Total magnetization: 0.0 Bohr magnetons per cell
VASP energy: -27.8 eV for the cell shown

a b c (Å): 4.931 5.766 11.091
angles (deg): 90.00 90.00 90.00
Space group Pmmm (No. 47)
Symmetry-distinct sites (fractional):
K 0.000 0.000 0.000 x1
K 0.000 0.500 0.500 x1
Na 0.000 0.000 0.311 x2
Na 0.000 0.500 0.164 x2
Na 0.500 0.000 0.500 x1
Au 0.500 0.252 0.243 x4
Au 0.500 0.500 0.000 x1


Ho2ZrUN4 | PBE | relaxed

Density of states at the Fermi level: 0.63 states/eV per atom
Crystal system: monoclinic
Uncorrected formation energy: -1.64 eV per atom
Total magnetization: 0.6 Bohr magnetons per cell

a b c (Å): 5.849 3.387 5.880
angles (deg): 90.00 108.99 90.00
Space group P2/m (No. 10)
Symmetry-distinct sites (fractional):
Ho 0.000 0.000 0.000 x1
Ho 0.500 0.500 0.000 x1
Zr 0.000 0.500 0.500 x1
U 0.500 0.000 0.500 x1
N 0.249 0.000 0.731 x2
N 0.254 0.500 0.264 x2


RbHo2B2S6 | PBE | relaxed

Density of states at the Fermi level: 0.32 states/eV per atom
Crystal system: monoclinic
Uncorrected formation energy: -1.08 eV per atom
Total magnetization: 0.0 Bohr magnetons per cell

a b c (Å): 12.948 7.015 7.313
angles (deg): 90.00 120.40 90.00
Space group C2/m (No. 12)
Symmetry-distinct sites (fractional):
Rb 0.000 0.000 0.000 x2
Ho 0.170 0.500 0.329 x4
B 0.148 0.500 0.738 x4
S 0.071 0.500 0.891 x4
S 0.177 0.279 0.641 x8